[1]
This record from the Alexandria database describes a relaxed Ba2CdPdPb crystal. The functional is PBE.

a = 6.190 Å, b = 6.190 Å, c = 5.214 Å
α = 90.00°, β = 90.00°, γ = 90.00°
Space group P4/mmm (No. 123)
Inequivalent atoms, fractional coordinates:
Ba: 0.000 0.500 0.000 x2
Cd: 0.000 0.000 0.500 x1
Pd: 0.500 0.500 0.000 x1
Pb: 0.500 0.500 0.500 x1

[2]
This record from the Alexandria database describes a relaxed NdBiRu crystal. The functional is PBE.

a = 3.572 Å, b = 5.658 Å, c = 8.124 Å
α = 89.09°, β = 89.98°, γ = 71.63°
Space group P-1 (No. 2)
Inequivalent atoms, fractional coordinates:
Nd: 0.138 0.222 0.150 x2
Bi: 0.131 0.237 0.605 x2
Ru: 0.420 0.661 0.145 x2

[3]
This record from the Alexandria database describes a relaxed Nb3VRu crystal. The functional is PBE.

Values from the calculation:
**ΔE to the lowest computed polymorph**: 0.0 meV per atom

a = 10.208 Å, b = 3.169 Å, c = 10.157 Å
α = 90.00°, β = 90.55°, γ = 90.00°
Space group C2/m (No. 12)
Inequivalent atoms, fractional coordinates:
Nb: 0.145 0.000 0.048 x4
Nb: 0.145 0.500 0.550 x4
Nb: 0.249 0.000 0.750 x4
V: 0.047 0.500 0.848 x4
Ru: 0.050 0.000 0.345 x4

[4]
This record from the Alexandria database describes a relaxed NaTiAs2 crystal. The functional is PBE.

Values from the calculation:
**ΔE to the lowest computed polymorph**: 71.6 meV per atom

a = 3.259 Å, b = 3.259 Å, c = 7.372 Å
α = 90.00°, β = 90.00°, γ = 90.00°
Space group P4/mmm (No. 123)
Inequivalent atoms, fractional coordinates:
Na: 0.000 0.000 0.000 x1
Ti: 0.000 0.000 0.500 x1
As: 0.500 0.500 0.300 x2

How do the records compare in DFT formation energy? In the order shown, they have -0.35, -0.17, -0.15, -0.48 eV/atom.
How do the records compare in total magnetic moment? In the order shown, they have 0.00, 0.00, 0.00, 0.00 μB per formula unit.